CaTb4Pt4: relaxed, PBE.

- total magnetic moment (Bohr magnetons per cell) = 0.00
- theoretical density (g/cm3) = 10.06
- crystal system = tetragonal
- energy (eV per cell) = -107.77
- volume (Å³ per cell) = 480.58
- energy of formation (eV/atom) = -1.0224

Cell and atoms, written as CIF:
```
data_CaTb4Pt4
_cell_length_a 9.175
_cell_length_b 9.175
_cell_length_c 5.709
_cell_angle_alpha 90.00
_cell_angle_beta 90.00
_cell_angle_gamma 90.00
_space_group_name_H-M_alt 'P 42/n'
_space_group_IT_number 86
loop_
_space_group_symop_operation_xyz
'x,y,z'
'-x,-y,-z'
'-y,x+1/2,z+1/2'
'y,-x+1/2,-z+1/2'
'-x+1/2,-y+1/2,z'
'x+1/2,y+1/2,-z'
'y+1/2,-x,z+1/2'
'-y+1/2,x,-z+1/2'
loop_
_atom_site_label
_atom_site_fract_x
_atom_site_fract_y
_atom_site_fract_z
Ca1 0.250 0.250 0.250
Tb1 0.082 0.650 0.169
Pt1 0.044 0.622 0.670
```